[1]
A relaxed structure of ZrMnBe2. Source: Alexandria, functional PBEsol.

Unit cell a=3.7044 b=3.7044 c=7.3824 alpha=90.00 beta=90.00 gamma=90.00
Last column: nearest neighbours and their distance in Å.
Space group I-4m2 (No. 119)
One atom of each set of equivalent atoms:
Zr (0.0000, 0.0000, 0.0000) [2 per cell]  4 Mn 2.61, 8 Be 2.61-2.62
Mn (0.0000, 0.5000, 0.7500) [2 per cell]  4 Zr 2.61, 8 Be 2.61-2.62
Be (0.0000, 0.0000, 0.5000) [2 per cell]  4 Mn 2.61, 4 Be 2.61, 4 Zr 2.62
Be (0.0000, 0.5000, 0.2500) [2 per cell]  4 Zr 2.61, 4 Be 2.61, 4 Mn 2.62

Output
DOS at the Fermi energy in states/eV/f.u.: 3.5
ΔH_f (0 K) in eV per formula unit: 0.84
Total moment in μB per formula unit: 1.9
Energy above the lowest structure with this stoichiometry in meV per atom: 0

=====

[2]
A relaxed structure of Cs2ZrF6. Source: Alexandria, functional PBEsol.

Unit cell a=6.3294 b=6.3294 c=4.9739 alpha=90.00 beta=90.00 gamma=120.00
Last column: nearest neighbours and their distance in Å.
Space group P-3m1 (No. 164)
One atom of each set of equivalent atoms:
Cs (0.3333, 0.6667, 0.1954) [2 per cell]  12 F 3.07-3.28
Zr (0.0000, 0.0000, 0.5000) [1 per cell]  6 F 2.02
F (0.1535, 0.3070, 0.7233) [6 per cell]  1 Zr 2.02

Output
DOS at the Fermi energy in states/eV/f.u.: 0.0
Total moment in μB per formula unit: 0.1
Calculated total energy in eV per atom: -5.953

=====

[3]
A relaxed structure of TaMn2Ni. Source: Alexandria, functional PBEsol.

Unit cell a=5.0714 b=8.3507 c=2.5986 alpha=90.00 beta=113.82 gamma=90.00
Last column: nearest neighbours and their distance in Å.
Space group C2/m (No. 12)
One atom of each set of equivalent atoms:
Ta (0.0000, 0.0000, 0.0000) [2 per cell]  4 Mn 2.51, 4 Ni 2.54-2.80, 2 Ta 2.60
Mn (0.2500, 0.2500, 0.5000) [4 per cell]  2 Ta 2.51, 2 Ni 2.51, 6 Mn 2.54-2.80
Ni (0.0000, 0.5000, 0.0000) [2 per cell]  4 Mn 2.51, 4 Ta 2.54-2.80, 2 Ni 2.60

Output
DOS at the Fermi energy in states/eV/f.u.: 5.3
ΔH_f (0 K) in eV per formula unit: 0.65
Total moment in μB per formula unit: 3.6
Energy above the lowest structure with this stoichiometry in meV per atom: 142

=====

[4]
A relaxed structure of Sr2Hg. Source: Alexandria, functional PBEsol.

Unit cell a=15.1995 b=15.1995 c=15.1995 alpha=90.00 beta=90.00 gamma=90.00
Last column: nearest neighbours and their distance in Å.
Space group Fd-3m (No. 227, origin choice 2)
One atom of each set of equivalent atoms:
Sr (0.0000, 0.0000, 0.0000) [16 per cell]  6 Hg 3.41
Sr (0.0663, 0.3750, 0.8750) [48 per cell]  2 Hg 3.38
Hg (0.0300, 0.0300, 0.2200) [32 per cell]  6 Sr 3.38-3.41

Output
DOS at the Fermi energy in states/eV/f.u.: 4.3
ΔH_f (0 K) in eV per formula unit: -1.00
Total moment in μB per formula unit: 0.4

=====

[5]
A relaxed structure of AlInTc2. Source: Alexandria, functional PBEsol.

Unit cell a=3.1531 b=3.1531 c=6.1717 alpha=90.00 beta=90.00 gamma=90.00
Last column: nearest neighbours and their distance in Å.
Space group P4/mmm (No. 123)
One atom of each set of equivalent atoms:
Al (0.0000, 0.0000, 0.0000) [1 per cell]  8 Tc 2.59
In (0.0000, 0.0000, 0.5000) [1 per cell]  8 Tc 2.85, 2 Al 3.09, 4 In 3.15
Tc (0.5000, 0.5000, 0.2135) [2 per cell]  4 Al 2.59, 1 Tc 2.64, 4 In 2.85

Output
DOS at the Fermi energy in states/eV/f.u.: 4.4
ΔH_f (0 K) in eV per formula unit: 0.31
Total moment in μB per formula unit: 0.0
Energy above the lowest structure with this stoichiometry in meV per atom: 0

=====

[6]
A relaxed structure of Pr9Al5Se21. Source: Alexandria, functional PBEsol.

Unit cell a=17.8203 b=17.8203 c=19.1088 alpha=90.00 beta=90.00 gamma=120.00
Last column: nearest neighbours and their distance in Å.
Space group R3 (No. 146, hexagonal axes)
One atom of each set of equivalent atoms:
Pr (0.0204, 0.2007, 0.0000) [9 per cell]  7 Se 2.94-3.19
Pr (0.0222, 0.1985, 0.6550) [9 per cell]  7 Se 2.92-3.26
Pr (0.0230, 0.1970, 0.3210) [9 per cell]  7 Se 2.96-3.12
Pr (0.1535, 0.6889, 0.1645) [9 per cell]  7 Se 2.93-3.21
Pr (0.1555, 0.6809, 0.4851) [9 per cell]  7 Se 2.95-3.21
Pr (0.1603, 0.6942, 0.8264) [9 per cell]  7 Se 2.94-3.16
Al (0.0000, 0.0000, 0.1017) [3 per cell]  6 Se 2.58-2.62
Al (0.0000, 0.0000, 0.4152) [3 per cell]  6 Se 2.47-2.77
Al (0.0000, 0.0000, 0.5988) [3 per cell]  6 Se 2.57-2.63
Al (0.0000, 0.0000, 0.9183) [3 per cell]  3 Se 2.47
Al (0.0019, 0.6716, 0.9640) [9 per cell]  4 Se 2.36-2.40
Al (0.0074, 0.3369, 0.4639) [9 per cell]  4 Se 2.36-2.41
Se (0.9997, 0.3327, 0.9206) [9 per cell]  1 Al 2.36
Se (0.0004, 0.6693, 0.0874) [9 per cell]  1 Al 2.36
Se (0.0060, 0.5468, 0.2472) [9 per cell]  1 Al 2.39
Se (0.0080, 0.1250, 0.8556) [9 per cell]  1 Al 2.47
Se (0.0126, 0.1207, 0.5127) [9 per cell]  2 Al 2.63-2.77
Se (0.0170, 0.1332, 0.1685) [9 per cell]  1 Al 2.58
Se (0.0170, 0.5483, 0.5849) [9 per cell]  1 Al 2.38
Se (0.0223, 0.5585, 0.9166) [9 per cell]  1 Al 2.40
Se (0.1203, 0.1090, 0.0162) [9 per cell]  2 Al 2.62-2.78
Se (0.1277, 0.1149, 0.3533) [9 per cell]  1 Al 2.47
Se (0.1282, 0.3396, 0.7518) [9 per cell]  1 Al 2.41
Se (0.1292, 0.3560, 0.0843) [9 per cell]  1 Al 2.39
Se (0.1313, 0.1169, 0.6660) [9 per cell]  1 Al 2.57
Se (0.1353, 0.3510, 0.4128) [9 per cell]  1 Al 2.38

Output
DOS at the Fermi energy in states/eV/f.u.: 0.0
Total moment in μB per formula unit: 0.0
Calculated total energy in eV per atom: -5.770

=====

[7]
A relaxed structure of TaBi3Cl. Source: Alexandria, functional PBEsol.

Unit cell a=5.3943 b=5.3943 c=5.3943 alpha=90.00 beta=90.00 gamma=90.00
Last column: nearest neighbours and their distance in Å.
Space group Pm-3m (No. 221)
One atom of each set of equivalent atoms:
Ta (0.0000, 0.0000, 0.0000) [1 per cell]  6 Bi 2.70
Bi (0.0000, 0.0000, 0.5000) [3 per cell]  2 Ta 2.70
Cl (0.5000, 0.5000, 0.5000) [1 per cell]  12 Bi 3.81

Output
DOS at the Fermi energy in states/eV/f.u.: 2.3
Total moment in μB per formula unit: 0.0
Calculated total energy in eV per atom: -5.234

=====

[8]
A relaxed structure of LiFeWClO4. Source: Alexandria, functional PBEsol.

Unit cell a=4.9586 b=6.8990 c=6.9550 alpha=90.00 beta=92.33 gamma=90.00
Last column: nearest neighbours and their distance in Å.
Space group P2_1/m (No. 11)
One atom of each set of equivalent atoms:
Li (0.0000, 0.0000, 0.0000) [2 per cell]  4 O 2.04-2.15
Fe (0.3037, 0.2500, 0.2486) [2 per cell]  4 O 1.95-2.15
W (0.4994, 0.2500, 0.7615) [2 per cell]  4 O 1.77-1.81
Cl (0.2014, 0.7500, 0.7761) [2 per cell]  2 Fe 2.47-2.50, 2 Li 2.55
O (0.2428, 0.2500, 0.9403) [2 per cell]  1 W 1.81
O (0.2924, 0.5373, 0.2116) [4 per cell]  1 W 1.80, 1 Fe 2.00
O (0.3383, 0.2500, 0.5293) [2 per cell]  1 W 1.77, 1 Fe 1.95

Output
DOS at the Fermi energy in states/eV/f.u.: 4.8
Total moment in μB per formula unit: 4.0
Calculated total energy in eV per atom: -7.680

=====

[9]
A relaxed structure of Ca2ScOs. Source: Alexandria, functional PBEsol.

Unit cell a=3.1947 b=3.1947 c=9.6712 alpha=90.00 beta=90.00 gamma=90.00
Last column: nearest neighbours and their distance in Å.
Space group P4/mmm (No. 123)
One atom of each set of equivalent atoms:
Ca (0.0000, 0.0000, 0.1885) [2 per cell]  4 Os 2.90, 4 Ca 3.19
Sc (0.5000, 0.5000, 0.5000) [1 per cell]  4 Sc 3.19
Os (0.5000, 0.5000, 0.0000) [1 per cell]  8 Ca 2.90, 4 Os 3.19

Output
DOS at the Fermi energy in states/eV/f.u.: 7.4
ΔH_f (0 K) in eV per formula unit: 2.14
Total moment in μB per formula unit: 0.2
Energy above the lowest structure with this stoichiometry in meV per atom: 418

=====

[10]
A relaxed structure of AlPt2Pb. Source: Alexandria, functional PBEsol.

Unit cell a=6.5092 b=6.5092 c=6.5092 alpha=90.00 beta=90.00 gamma=90.00
Last column: nearest neighbours and their distance in Å.
Space group Fm-3m (No. 225)
One atom of each set of equivalent atoms:
Al (0.0000, 0.0000, 0.0000) [4 per cell]  8 Pt 2.82
Pt (0.2500, 0.2500, 0.2500) [8 per cell]  4 Al 2.82, 4 Pb 2.82
Pb (0.0000, 0.0000, 0.5000) [4 per cell]  8 Pt 2.82

Output
DOS at the Fermi energy in states/eV/f.u.: 1.5
ΔH_f (0 K) in eV per formula unit: -0.95
Total moment in μB per formula unit: 0.0

=====

[11]
A relaxed structure of Ba2YScBr. Source: Alexandria, functional PBEsol.

Unit cell a=6.7494 b=6.7494 c=5.2443 alpha=90.00 beta=90.00 gamma=90.00
Last column: nearest neighbours and their distance in Å.
Space group P4/mmm (No. 123)
One atom of each set of equivalent atoms:
Ba (0.0000, 0.5000, 0.0000) [2 per cell]  2 Y 3.37
Y (0.0000, 0.0000, 0.0000) [1 per cell]  2 Br 2.62
Sc (0.5000, 0.5000, 0.5000) [1 per cell]  8 Ba 4.27, 4 Br 4.77
Br (0.0000, 0.0000, 0.5000) [1 per cell]  2 Y 2.62

Output
DOS at the Fermi energy in states/eV/f.u.: 10.6
Total moment in μB per formula unit: 2.1
Calculated total energy in eV per atom: -3.482

=====

[12]
A relaxed structure of AgIrAuO2. Source: Alexandria, functional PBEsol.

Unit cell a=3.7144 b=3.7144 c=5.9157 alpha=90.00 beta=90.00 gamma=90.00
Last column: nearest neighbours and their distance in Å.
Space group P4/mmm (No. 123)
One atom of each set of equivalent atoms:
Ag (0.0000, 0.0000, 0.0000) [1 per cell]  4 Au 2.63
Ir (0.0000, 0.0000, 0.5000) [1 per cell]  4 O 1.86
Au (0.5000, 0.5000, 0.0000) [1 per cell]  4 Ag 2.63
O (0.0000, 0.5000, 0.5000) [2 per cell]  2 Ir 1.86

Output
DOS at the Fermi energy in states/eV/f.u.: 3.0
Total moment in μB per formula unit: 0.0
Calculated total energy in eV per atom: -5.505

=====

[13]
A relaxed structure of LiAuSe2. Source: Alexandria, functional PBEsol.

Unit cell a=2.7247 b=2.7247 c=10.1939 alpha=90.00 beta=90.00 gamma=90.00
Last column: nearest neighbours and their distance in Å.
Space group P4/mmm (No. 123)
One atom of each set of equivalent atoms:
Li (0.0000, 0.0000, 0.0000) [1 per cell]  4 Li 2.72, 8 Se 2.77
Au (0.0000, 0.0000, 0.5000) [1 per cell]  4 Au 2.72
Se (0.5000, 0.5000, 0.1957) [2 per cell]  4 Se 2.72, 4 Li 2.77

Output
DOS at the Fermi energy in states/eV/f.u.: 1.5
Total moment in μB per formula unit: 0.0
Calculated total energy in eV per atom: -3.563

=====

[14]
A relaxed structure of KAlP4O12. Source: Alexandria, functional PBEsol.

Unit cell a=16.7005 b=12.2293 c=5.0935 alpha=90.00 beta=100.23 gamma=90.00
Last column: nearest neighbours and their distance in Å.
Space group C2/m (No. 12)
One atom of each set of equivalent atoms:
K (0.0909, 0.0000, 0.2439) [4 per cell]  6 O 2.74-2.96
Al (0.2500, 0.2500, 0.5000) [4 per cell]  6 O 1.86-1.90
P (0.0774, 0.2227, 0.6650) [8 per cell]  4 O 1.48-1.62
P (0.1900, 0.3782, 0.9705) [8 per cell]  4 O 1.50-1.59
O (0.0000, 0.2864, 0.5000) [4 per cell]  2 P 1.61
O (0.0531, 0.1211, 0.7863) [8 per cell]  1 P 1.48
O (0.1063, 0.3150, 0.8892) [8 per cell]  2 P 1.59-1.62
O (0.1408, 0.2151, 0.4873) [8 per cell]  1 P 1.51
O (0.1596, 0.5000, 0.9008) [4 per cell]  2 P 1.59
O (0.2190, 0.3696, 0.2649) [8 per cell]  1 P 1.50
O (0.2494, 0.3461, 0.7935) [8 per cell]  1 P 1.51

Output
DOS at the Fermi energy in states/eV/f.u.: 0.0
Total moment in μB per formula unit: 0.0
Calculated total energy in eV per atom: -7.436

=====

[15]
A relaxed structure of SiSe2BrCl. Source: Alexandria, functional PBEsol.

Unit cell a=4.9016 b=4.9016 c=5.0617 alpha=90.00 beta=90.00 gamma=90.00
Last column: nearest neighbours and their distance in Å.
Space group P4/mmm (No. 123)
One atom of each set of equivalent atoms:
Si (0.0000, 0.0000, 0.0000) [1 per cell]  4 Br 3.47, 8 Se 3.52
Se (0.0000, 0.5000, 0.5000) [2 per cell]  2 Cl 2.45
Br (0.5000, 0.5000, 0.0000) [1 per cell]  2 Cl 2.53
Cl (0.5000, 0.5000, 0.5000) [1 per cell]  4 Se 2.45, 2 Br 2.53

Output
DOS at the Fermi energy in states/eV/f.u.: 1.9
Total moment in μB per formula unit: 0.0
Calculated total energy in eV per atom: -2.586

=====

[16]
A relaxed structure of Sr2InBr. Source: Alexandria, functional PBEsol.

Unit cell a=4.0783 b=3.8886 c=8.8692 alpha=90.00 beta=90.29 gamma=90.00
Last column: nearest neighbours and their distance in Å.
Space group P2/m (No. 10)
One atom of each set of equivalent atoms:
Sr (0.0022, 0.0000, 0.2241) [2 per cell]  2 Br 3.13, 4 In 3.45
In (0.5000, 0.5000, 0.0000) [1 per cell]  8 Sr 3.45
Br (0.0000, 0.5000, 0.5000) [1 per cell]  4 Sr 3.13

Output
DOS at the Fermi energy in states/eV/f.u.: 1.7
Total moment in μB per formula unit: 0.0
Energy above the lowest structure with this stoichiometry in meV per atom: 0

=====

[17]
A relaxed structure of MgBiAs2Se. Source: Alexandria, functional PBEsol.

Unit cell a=5.3533 b=5.3533 c=5.4124 alpha=90.00 beta=90.00 gamma=90.00
Last column: nearest neighbours and their distance in Å.
Space group P4/mmm (No. 123)
One atom of each set of equivalent atoms:
Mg (0.0000, 0.0000, 0.0000) [1 per cell]  4 Se 3.79, 8 As 3.81
Bi (0.5000, 0.5000, 0.5000) [1 per cell]  4 As 2.68, 2 Se 2.71
As (0.0000, 0.5000, 0.5000) [2 per cell]  2 Bi 2.68
Se (0.5000, 0.5000, 0.0000) [1 per cell]  2 Bi 2.71

Output
DOS at the Fermi energy in states/eV/f.u.: 6.2
Total moment in μB per formula unit: 0.0
Calculated total energy in eV per atom: -3.258

=====

[18]
A relaxed structure of Mg2FeH2. Source: Alexandria, functional PBEsol.

Unit cell a=5.6464 b=5.6464 c=3.2680 alpha=90.00 beta=90.00 gamma=90.00
Last column: nearest neighbours and their distance in Å.
Space group P4/mbm (No. 127)
One atom of each set of equivalent atoms:
Mg (0.1827, 0.3173, 0.0000) [4 per cell]  2 H 1.97
Fe (0.0000, 0.0000, 0.5000) [2 per cell]  4 H 2.07
H (0.1799, 0.6799, 0.5000) [4 per cell]  2 Mg 1.97, 2 Fe 2.07

Output
DOS at the Fermi energy in states/eV/f.u.: 1.7
Total moment in μB per formula unit: 0.0
Calculated total energy in eV per atom: -3.531

=====

[19]
A relaxed structure of TaIr2. Source: Alexandria, functional PBEsol.

Unit cell a=5.9701 b=5.9701 c=5.9701 alpha=90.00 beta=90.00 gamma=90.00
Last column: nearest neighbours and their distance in Å.
Space group Fm-3m (No. 225)
One atom of each set of equivalent atoms:
Ta (0.0000, 0.0000, 0.0000) [4 per cell]  8 Ir 2.59
Ir (0.2500, 0.2500, 0.2500) [8 per cell]  4 Ta 2.59

Output
DOS at the Fermi energy in states/eV/f.u.: 1.6
ΔH_f (0 K) in eV per formula unit: -0.39
Total moment in μB per formula unit: 0.0

=====

[20]
A relaxed structure of Be2IrRh2. Source: Alexandria, functional PBEsol.

Unit cell a=6.3754 b=6.3754 c=2.7474 alpha=90.00 beta=90.00 gamma=90.00
Last column: nearest neighbours and their distance in Å.
Space group P4/mbm (No. 127)
One atom of each set of equivalent atoms:
Be (0.1269, 0.3731, 0.0000) [4 per cell]  1 Be 2.29, 6 Rh 2.29-2.35, 2 Ir 2.51
Ir (0.0000, 0.0000, 0.0000) [2 per cell]  4 Be 2.51, 8 Rh 2.74, 2 Ir 2.75
Rh (0.1697, 0.6697, 0.5000) [4 per cell]  6 Be 2.29-2.35

Output
DOS at the Fermi energy in states/eV/f.u.: 3.3
ΔH_f (0 K) in eV per formula unit: -1.99
Total moment in μB per formula unit: 0.0

=====

[21]
A relaxed structure of Ti2IOF. Source: Alexandria, functional PBEsol.

Unit cell a=5.1506 b=5.1506 c=4.1836 alpha=90.00 beta=90.00 gamma=90.00
Last column: nearest neighbours and their distance in Å.
Space group P4/mmm (No. 123)
One atom of each set of equivalent atoms:
Ti (0.0000, 0.5000, 0.0000) [2 per cell]  2 I 2.58
I (0.0000, 0.0000, 0.0000) [1 per cell]  2 O 2.09
O (0.0000, 0.0000, 0.5000) [1 per cell]  2 I 2.09
F (0.5000, 0.5000, 0.5000) [1 per cell]  8 Ti 3.32, 4 O 3.64

Output
DOS at the Fermi energy in states/eV/f.u.: 6.9
Total moment in μB per formula unit: 5.0
Calculated total energy in eV per atom: -4.687